Crystalline NbFeTeO6 at its relaxed geometry, computed with PBE+U.

The calculation puts the total energy at -6.967 eV/atom. The calculation puts the calculated density at 5.61 g/cm³.

Geometry as CIF:
```
data_NbFeTeO6
_cell_length_a 5.3684
_cell_length_b 5.3684
_cell_length_c 8.8371
_cell_angle_alpha 90.00
_cell_angle_beta 90.00
_cell_angle_gamma 120.00
_symmetry_space_group_name_H-M 'P -3 1 c'
_symmetry_Int_Tables_number 163
_symmetry_space_group_name_Hall '-P 3 2c'
loop_
_atom_site_label
_atom_site_type_symbol
_atom_site_fract_x
_atom_site_fract_y
_atom_site_fract_z
Nb1 Nb 0.3333 0.6667 0.2500
Fe1 Fe 0.0000 0.0000 0.0000
Te1 Te 0.3333 0.6667 0.7500
O1 O 0.0221 0.3410 0.1269
```